(1)
Sc6Sb3O | GGA-PBE | optimized geometry

Computed properties:
Fermi-level density of states in states/eV per atom: 1.154
Calculated total energy in eV/f.u.: -66.1

a b c (Å): 8.693 8.693 6.500
angles (deg): 90.00 90.00 101.42
Element x y z (fractional)
Sc: 0.059 0.941 0.500
Sc: 0.103 0.584 0.529
Sc: 0.235 0.765 0.073
Sc: 0.295 0.374 0.052
Sc: 0.374 0.295 0.552
Sc: 0.416 0.897 0.529
Sc: 0.584 0.103 0.029
Sc: 0.626 0.705 0.052
Sc: 0.705 0.626 0.552
Sc: 0.765 0.235 0.573
Sc: 0.897 0.416 0.029
Sc: 0.941 0.059 0.000
Sb: 0.063 0.269 0.353
Sb: 0.269 0.063 0.853
Sb: 0.394 0.606 0.744
Sb: 0.606 0.394 0.244
Sb: 0.731 0.937 0.353
Sb: 0.937 0.731 0.853
O: 0.200 0.800 0.382
O: 0.800 0.200 0.882


(2)
Sc2SbO4 | GGA-PBE | optimized geometry

Computed properties:
Fermi-level density of states in states/eV per atom: 0.511
Calculated total energy in eV/f.u.: -48.7

a b c (Å): 6.462 6.462 6.462
angles (deg): 140.81 140.81 56.63
Element x y z (fractional)
Sc: 0.141 0.141 0.000
Sc: 0.859 0.859 0.000
Sb: 0.500 0.500 0.000
O: 0.000 0.500 0.500
O: 0.304 0.304 0.000
O: 0.500 0.000 0.500
O: 0.696 0.696 0.000


(3)
ScSbO2 | GGA-PBE | optimized geometry

Computed properties:
Fermi-level density of states in states/eV per atom: 0.129
ΔE to the lowest computed polymorph in meV per atom: 0
Calculated total energy in eV/f.u.: -29.8

a b c (Å): 6.899 6.899 6.899
angles (deg): 27.18 27.18 27.18
Element x y z (fractional)
Sc: 0.000 0.000 0.000
Sb: 0.500 0.500 0.500
O: 0.385 0.385 0.385
O: 0.615 0.615 0.615


(4)
Sc2SbO | GGA-PBE | optimized geometry

Computed properties:
Fermi-level density of states in states/eV per atom: 0.750
ΔE to the lowest computed polymorph in meV per atom: 1043
Calculated total energy in eV/f.u.: -25.4

a b c (Å): 4.727 4.727 4.727
angles (deg): 60.00 60.00 60.00
Element x y z (fractional)
Sc: 0.250 0.250 0.250
Sc: 0.750 0.750 0.750
Sb: 0.000 0.000 0.000
O: 0.500 0.500 0.500


(5)
Sc3SbO7 | GGA-PBE | optimized geometry

Computed properties:
Fermi-level density of states in states/eV per atom: 0.000
Calculated total energy in eV/f.u.: -88.9

a b c (Å): 6.207 6.207 7.155
angles (deg): 90.00 90.00 108.86
Element x y z (fractional)
Sc: 0.030 0.030 0.000
Sc: 0.031 0.504 0.255
Sc: 0.496 0.969 0.245
Sc: 0.504 0.031 0.745
Sc: 0.969 0.496 0.755
Sc: 0.970 0.970 0.500
Sb: 0.499 0.499 0.500
Sb: 0.501 0.501 0.000
O: 0.128 0.872 0.750
O: 0.143 0.857 0.250
O: 0.165 0.413 0.968
O: 0.173 0.439 0.540
O: 0.413 0.165 0.032
O: 0.417 0.583 0.250
O: 0.439 0.173 0.460
O: 0.561 0.827 0.960
O: 0.583 0.417 0.750
O: 0.587 0.835 0.532
O: 0.827 0.561 0.040
O: 0.835 0.587 0.468
O: 0.857 0.143 0.750
O: 0.872 0.128 0.250


(6)
Sc4SbO2 | GGA-PBE | optimized geometry

Computed properties:
Fermi-level density of states in states/eV per atom: 0.866
Calculated total energy in eV/f.u.: -51.8

a b c (Å): 5.811 5.811 10.086
angles (deg): 90.00 90.00 122.84
Element x y z (fractional)
Sc: 0.000 0.500 0.350
Sc: 0.000 0.500 0.650
Sc: 0.133 0.339 0.000
Sc: 0.339 0.133 0.500
Sc: 0.500 0.000 0.150
Sc: 0.500 0.000 0.850
Sc: 0.661 0.867 0.500
Sc: 0.867 0.661 0.000
Sb: 0.000 0.000 0.250
Sb: 0.000 0.000 0.750
O: 0.261 0.738 0.500
O: 0.262 0.739 0.000
O: 0.738 0.261 0.000
O: 0.739 0.262 0.500


(7)
Sc12Sb3O5 | GGA-PBE | optimized geometry

Computed properties:
Fermi-level density of states in states/eV per atom: 0.817
Calculated total energy in eV/f.u.: -147.0

a b c (Å): 12.580 12.580 12.580
angles (deg): 109.47 109.47 109.47
Element x y z (fractional)
Sc: 0.003 0.191 0.103
Sc: 0.003 0.311 0.900
Sc: 0.089 0.691 0.689
Sc: 0.089 0.897 0.400
Sc: 0.100 0.603 0.411
Sc: 0.100 0.997 0.689
Sc: 0.103 0.003 0.191
Sc: 0.103 0.600 0.911
Sc: 0.189 0.191 0.589
Sc: 0.189 0.497 0.600
Sc: 0.191 0.103 0.003
Sc: 0.191 0.589 0.189
Sc: 0.309 0.311 0.911
Sc: 0.309 0.497 0.397
Sc: 0.311 0.900 0.003
Sc: 0.311 0.911 0.309
Sc: 0.397 0.309 0.497
Sc: 0.397 0.589 0.900
Sc: 0.400 0.089 0.897
Sc: 0.400 0.811 0.503
Sc: 0.411 0.100 0.603
Sc: 0.411 0.811 0.809
Sc: 0.497 0.397 0.309
Sc: 0.497 0.600 0.189
Sc: 0.503 0.400 0.811
Sc: 0.503 0.603 0.691
Sc: 0.589 0.189 0.191
Sc: 0.589 0.900 0.397
Sc: 0.600 0.189 0.497
Sc: 0.600 0.911 0.103
Sc: 0.603 0.411 0.100
Sc: 0.603 0.691 0.503
Sc: 0.689 0.089 0.691
Sc: 0.689 0.100 0.997
Sc: 0.691 0.503 0.603
Sc: 0.691 0.689 0.089
Sc: 0.809 0.411 0.811
Sc: 0.809 0.897 0.997
Sc: 0.811 0.503 0.400
Sc: 0.811 0.809 0.411
Sc: 0.897 0.400 0.089
Sc: 0.897 0.997 0.809
Sc: 0.900 0.003 0.311
Sc: 0.900 0.397 0.589
Sc: 0.911 0.103 0.600
Sc: 0.911 0.309 0.311
Sc: 0.997 0.689 0.100
Sc: 0.997 0.809 0.897
Sb: 0.125 0.250 0.375
Sb: 0.125 0.375 0.750
Sb: 0.250 0.375 0.125
Sb: 0.250 0.875 0.625
Sb: 0.375 0.125 0.250
Sb: 0.375 0.750 0.125
Sb: 0.625 0.250 0.875
Sb: 0.625 0.875 0.750
Sb: 0.750 0.125 0.375
Sb: 0.750 0.625 0.875
Sb: 0.875 0.625 0.250
Sb: 0.875 0.750 0.625
O: 0.000 0.000 0.000
O: 0.000 0.000 0.500
O: 0.000 0.500 0.000
O: 0.000 0.500 0.500
O: 0.125 0.750 0.875
O: 0.125 0.875 0.250
O: 0.250 0.125 0.875
O: 0.250 0.625 0.375
O: 0.375 0.250 0.625
O: 0.375 0.625 0.750
O: 0.500 0.000 0.000
O: 0.500 0.000 0.500
O: 0.500 0.500 0.000
O: 0.500 0.500 0.500
O: 0.625 0.375 0.250
O: 0.625 0.750 0.375
O: 0.750 0.375 0.625
O: 0.750 0.875 0.125
O: 0.875 0.125 0.750
O: 0.875 0.250 0.125


(8)
Sc3SbO3 | GGA-PBE | optimized geometry

Computed properties:
Fermi-level density of states in states/eV per atom: 0.336
Calculated total energy in eV/f.u.: -56.4

a b c (Å): 7.949 7.949 7.949
angles (deg): 45.80 45.80 45.80
Element x y z (fractional)
Sc: 0.040 0.400 0.746
Sc: 0.254 0.960 0.600
Sc: 0.400 0.746 0.040
Sc: 0.600 0.254 0.960
Sc: 0.746 0.040 0.400
Sc: 0.960 0.600 0.254
Sb: 0.167 0.167 0.167
Sb: 0.833 0.833 0.833
O: 0.066 0.690 0.365
O: 0.310 0.635 0.934
O: 0.365 0.066 0.690
O: 0.635 0.934 0.310
O: 0.690 0.365 0.066
O: 0.934 0.310 0.635


Look up the Fermi-level density of states of the eighth one. 0.336 states/eV per atom